[1]
## Th6AgC3Se2 (GGA-PBE)

Data for a relaxed structure of Th6AgC3Se2.

The structure in POSCAR format:
```
Th6AgC3Se2
1.0
9.0684 -1.9235 0.0000
9.0684 1.9235 0.0000
-2.9584 0.0000 7.9197
Th Ag C Se
6 1 3 2
direct
0.0142 0.0142 0.2156
0.3211 0.3211 0.4479
0.3424 0.3424 0.8929
0.6576 0.6576 0.1071
0.6789 0.6789 0.5521
0.9858 0.9858 0.7844
0.5000 0.5000 0.5000
0.1683 0.1683 0.3304
0.5000 0.5000 0.0000
0.8317 0.8317 0.6696
0.1636 0.1636 0.8262
0.8364 0.8364 0.1738
```

[2]
## SiAg3C (GGA-PBE)

Data for a relaxed structure of SiAg3C.

The structure in POSCAR format:
```
SiAg3C
1.0
4.3711 0.0000 0.0000
0.0000 4.3711 0.0000
0.0000 0.0000 4.3711
Si Ag C
1 3 1
direct
0.0000 0.0000 0.0000
0.0000 0.5000 0.5000
0.5000 0.0000 0.5000
0.5000 0.5000 0.0000
0.5000 0.5000 0.5000
```

Properties
Polymorph energy (0 for the lowest one) in eV per formula unit: 0.00

[3]
## Si3AgC (GGA-PBE)

Data for a relaxed structure of Si3AgC.

The structure in POSCAR format:
```
Si3AgC
1.0
4.1166 0.0000 0.0000
0.0000 4.1166 0.0000
0.0000 0.0000 4.1166
Si Ag C
3 1 1
direct
0.0000 0.0000 0.5000
0.0000 0.5000 0.0000
0.5000 0.0000 0.0000
0.5000 0.5000 0.5000
0.0000 0.0000 0.0000
```

Properties
Polymorph energy (0 for the lowest one) in eV per formula unit: 0.00

[4]
## Si3AgC (GGA-PBE)

Data for a relaxed structure of Si3AgC.

The structure in POSCAR format:
```
Si3AgC
1.0
4.7572 0.0000 0.0000
0.0000 4.7572 0.0000
0.0000 0.0000 4.7572
Si Ag C
3 1 1
direct
0.0000 0.0000 0.5000
0.0000 0.5000 0.0000
0.5000 0.0000 0.0000
0.0000 0.0000 0.0000
0.5000 0.5000 0.5000
```

Properties
Polymorph energy (0 for the lowest one) in eV per formula unit: 7.20

[5]
## SiAgC3 (GGA-PBE)

Data for a relaxed structure of SiAgC3.

The structure in POSCAR format:
```
SiAgC3
1.0
4.1534 0.0000 0.0000
0.0000 4.1534 0.0000
0.0000 0.0000 4.1534
Si Ag C
1 1 3
direct
0.0000 0.0000 0.0000
0.5000 0.5000 0.5000
0.0000 0.5000 0.5000
0.5000 0.0000 0.5000
0.5000 0.5000 0.0000
```

Properties
Polymorph energy (0 for the lowest one) in eV per formula unit: 6.75

[6]
## SiAgC3 (GGA-PBE)

Data for a relaxed structure of SiAgC3.

The structure in POSCAR format:
```
SiAgC3
1.0
3.8115 0.0000 0.0000
0.0000 3.8115 0.0000
0.0000 0.0000 3.8115
Si Ag C
1 1 3
direct
0.0000 0.0000 0.0000
0.5000 0.5000 0.5000
0.0000 0.0000 0.5000
0.0000 0.5000 0.0000
0.5000 0.0000 0.0000
```

Properties
Polymorph energy (0 for the lowest one) in eV per formula unit: 0.00

[7]
## SiAg2SnC (GGA-PBE)

Data for a relaxed structure of SiAg2SnC.

The structure in POSCAR format:
```
SiAg2SnC
1.0
5.1494 0.0000 0.0000
0.0000 5.1494 0.0000
0.0000 0.0000 3.4026
Si Ag Sn C
1 2 1 1
direct
0.0000 0.0000 0.0000
0.0000 0.5000 0.5000
0.5000 0.0000 0.5000
0.5000 0.5000 0.0000
0.0000 0.0000 0.5000
```

[8]
## Zn2SiAgC (GGA-PBE)

Data for a relaxed structure of Zn2SiAgC.

The structure in POSCAR format:
```
Zn2SiAgC
1.0
4.6501 0.0000 0.0000
0.0000 4.6501 0.0000
0.0000 0.0000 4.8872
Zn Si Ag C
2 1 1 1
direct
0.0000 0.5000 0.0000
0.5000 0.0000 0.0000
0.0000 0.0000 0.0000
0.0000 0.0000 0.5000
0.5000 0.5000 0.5000
```

For each record above, in turn, the calculated energy values are -7.589; -3.622; -4.776; -3.337; -3.794; -5.145; -4.099; -2.421 eV per atom.
For each record above, in turn, the calculated size of the total moment values are 0.0; 0.0; 0.0; 0.0; 0.0; 0.0; 0.0; 2.5 μB/f.u..
For each record above, in turn, the calculated formation energy without anion corrections values are -9.1; 5.1; 4.5; 11.7; 17.0; 10.2; 3.9; 7.9 eV per formula unit.